First-principles (PBE) data for a relaxed structure of InNiSbTe2, as listed in the Alexandria database. Values from VASP.

Results
spin magnetization: 0.00 μB/f.u.
E above lowest polymorph: 0 meV per atom
N(E_F): 5.246 states/eV/f.u.
uncorrected formation energy: 175 meV per atom
V: 138.7 Å³/f.u.

Cell and atoms, written as Quantum ESPRESSO input:
```
&SYSTEM
  ibrav = 0, nat = 5, ntyp = 4
/
ATOMIC_SPECIES
Te 127.60 Te.upf
In 114.82 In.upf
Sb 121.76 Sb.upf
Ni 58.69 Ni.upf
CELL_PARAMETERS angstrom
-2.055 3.670 -3.369
-3.785 1.219 3.637
2.871 3.327 1.873
ATOMIC_POSITIONS angstrom
Te -1.027 1.835 -1.684
Te -1.893 0.610 1.819
In -1.484 4.108 1.071
Sb 1.436 1.663 0.936
Ni 0.000 0.000 0.000
```

=====

First-principles (PBE) data for a relaxed structure of CdGeW3, as listed in the Alexandria database. Values from VASP.

Results
spin magnetization: 0.00 μB/f.u.
E above lowest polymorph: 1369 meV per atom
N(E_F): 6.818 states/eV/f.u.
energy of formation from the pure elements: 3.05 eV/atom
V: 114.9 Å³/f.u.

Cell and atoms, written as Quantum ESPRESSO input:
```
&SYSTEM
  ibrav = 0, nat = 5, ntyp = 3
/
ATOMIC_SPECIES
Ge 72.64 Ge.upf
W 183.84 W.upf
Cd 112.41 Cd.upf
CELL_PARAMETERS angstrom
4.862 0.000 0.000
0.000 4.862 0.000
0.000 0.000 4.862
ATOMIC_POSITIONS angstrom
Ge 2.431 2.431 2.431
W 0.000 0.000 2.431
W 2.431 0.000 0.000
W 0.000 2.431 0.000
Cd 0.000 0.000 0.000
```

=====

First-principles (PBE) data for a relaxed structure of AcMg4Au8, as listed in the Alexandria database. Values from VASP.

Results
spin magnetization: 0.00 μB/f.u.
N(E_F): 3.448 states/eV/f.u.
energy of formation from the pure elements: -0.53 eV/atom
V: 260.5 Å³/f.u.

Cell and atoms, written as Quantum ESPRESSO input:
```
&SYSTEM
  ibrav = 0, nat = 13, ntyp = 3
/
ATOMIC_SPECIES
Au 196.97 Au.upf
Mg 24.30 Mg.upf
Ac 227.00 Ac.upf
CELL_PARAMETERS angstrom
-3.363 -3.689 -2.930
-4.934 -3.377 4.198
-6.066 3.093 -2.647
ATOMIC_POSITIONS angstrom
Au -5.683 0.904 -0.332
Au -8.417 -1.436 0.035
Au -5.946 -2.537 -1.415
Au -11.009 -2.875 -0.896
Au -6.864 -3.804 1.233
Au -3.355 -1.099 -0.484
Au -7.500 -0.169 -2.613
Au -5.317 -1.189 1.883
Mg -3.033 1.546 -1.324
Mg -4.715 -0.298 -2.789
Mg -2.467 -1.688 2.099
Mg -4.149 -3.533 0.634
Ac 0.000 0.000 0.000
```

=====

First-principles (PBE) data for a relaxed structure of CuMo3Pt, as listed in the Alexandria database. Values from VASP.

Results
spin magnetization: 0.00 μB/f.u.
E above lowest polymorph: 0 meV per atom
N(E_F): 7.850 states/eV/f.u.
energy of formation from the pure elements: 1.45 eV/atom
V: 88.3 Å³/f.u.

Cell and atoms, written as Quantum ESPRESSO input:
```
&SYSTEM
  ibrav = 0, nat = 5, ntyp = 3
/
ATOMIC_SPECIES
Cu 63.55 Cu.upf
Mo 95.94 Mo.upf
Pt 195.08 Pt.upf
CELL_PARAMETERS angstrom
4.453 0.000 0.000
0.000 4.453 0.000
0.000 0.000 4.453
ATOMIC_POSITIONS angstrom
Cu 0.000 0.000 0.000
Mo 2.227 0.000 0.000
Mo 0.000 0.000 2.227
Mo 0.000 2.227 0.000
Pt 2.227 2.227 2.227
```

=====

First-principles (PBE) data for a relaxed structure of GeRhPb3, as listed in the Alexandria database. Values from VASP.

Results
spin magnetization: 0.00 μB/f.u.
E above lowest polymorph: 0 meV per atom
N(E_F): 3.334 states/eV/f.u.
energy of formation from the pure elements: 0.28 eV/atom
V: 147.2 Å³/f.u.

Cell and atoms, written as Quantum ESPRESSO input:
```
&SYSTEM
  ibrav = 0, nat = 5, ntyp = 3
/
ATOMIC_SPECIES
Pb 207.20 Pb.upf
Rh 102.91 Rh.upf
Ge 72.64 Ge.upf
CELL_PARAMETERS angstrom
-0.455 -5.029 1.544
4.938 -0.942 -1.615
1.814 1.305 4.784
ATOMIC_POSITIONS angstrom
Pb 2.469 -0.471 -0.807
Pb -0.227 -2.514 0.772
Pb 0.907 0.653 2.392
Rh 0.000 0.000 0.000
Ge 3.148 -2.333 2.357
```

=====

First-principles (PBE) data for a relaxed structure of Sc3GaS, as listed in the Alexandria database. Values from VASP.

Results
spin magnetization: 0.04 μB/f.u.
E above lowest polymorph: 0 meV per atom
N(E_F): 5.448 states/eV/f.u.
uncorrected formation energy: -1038 meV per atom
V: 100.1 Å³/f.u.

Cell and atoms, written as Quantum ESPRESSO input:
```
&SYSTEM
  ibrav = 0, nat = 20, ntyp = 3
/
ATOMIC_SPECIES
S 32.06 S.upf
Ga 69.72 Ga.upf
Sc 44.96 Sc.upf
CELL_PARAMETERS angstrom
3.624 0.000 0.000
0.000 8.148 0.000
0.000 0.000 13.560
ATOMIC_POSITIONS angstrom
S 0.906 6.817 7.533
S 2.718 5.406 0.753
S 0.906 2.743 12.806
S 2.718 1.332 6.027
Ga 2.718 7.536 11.184
Ga 2.718 3.462 9.155
Ga 0.906 0.612 2.375
Ga 0.906 4.686 4.405
Sc 2.718 0.259 8.331
Sc 0.906 6.841 13.331
Sc 0.906 7.889 5.229
Sc 0.906 3.815 1.551
Sc 0.906 1.630 10.591
Sc 0.906 2.767 7.008
Sc 2.718 5.381 6.551
Sc 2.718 1.307 0.229
Sc 0.906 5.704 9.749
Sc 2.718 4.333 12.009
Sc 2.718 2.444 3.811
Sc 2.718 6.518 2.969
```

=====

First-principles (PBE) data for a relaxed structure of Sr3Cd3Ga, as listed in the Alexandria database. Values from VASP.

Results
spin magnetization: 0.00 μB/f.u.
N(E_F): 5.228 states/eV/f.u.
energy of formation from the pure elements: -0.34 eV/atom
V: 225.2 Å³/f.u.

Cell and atoms, written as Quantum ESPRESSO input:
```
&SYSTEM
  ibrav = 0, nat = 14, ntyp = 3
/
ATOMIC_SPECIES
Cd 112.41 Cd.upf
Sr 87.62 Sr.upf
Ga 69.72 Ga.upf
CELL_PARAMETERS angstrom
-4.087 0.359 2.392
-3.632 -5.256 -0.703
4.734 -6.698 13.812
ATOMIC_POSITIONS angstrom
Cd -5.870 -5.769 4.980
Cd -3.763 -0.925 3.138
Cd 0.778 -10.670 12.362
Cd -3.645 -7.223 9.000
Cd 2.885 -5.826 10.519
Cd 0.660 -4.372 6.500
Sr -0.464 -5.518 9.466
Sr -0.858 -2.961 3.694
Sr 1.682 -7.526 13.434
Sr -4.667 -4.069 2.066
Sr -2.521 -6.077 6.034
Sr -2.127 -8.633 11.806
Ga -1.406 -8.719 8.337
Ga -1.579 -2.875 7.163
```

=====

First-principles (PBE) data for a relaxed structure of Y2NiSnH, as listed in the Alexandria database. Values from VASP.

Results
spin magnetization: 0.09 μB/f.u.
E_tot: -5.69 eV per atom
N(E_F): 3.621 states/eV/f.u.
V: 93.9 Å³/f.u.

Cell and atoms, written as Quantum ESPRESSO input:
```
&SYSTEM
  ibrav = 0, nat = 5, ntyp = 4
/
ATOMIC_SPECIES
Y 88.91 Y.upf
H 1.01 H.upf
Ni 58.69 Ni.upf
Sn 118.71 Sn.upf
CELL_PARAMETERS angstrom
4.931 0.000 0.000
0.000 4.931 0.000
0.000 0.000 3.861
ATOMIC_POSITIONS angstrom
Y 2.465 0.000 0.000
Y 0.000 2.465 0.000
H 0.000 0.000 0.000
Ni 0.000 0.000 1.931
Sn 2.465 2.465 1.931
```